Entry 1:
A relaxed structure of Li3GaBi, computed with PBE.

Values from the calculation:
**Crystal system**: monoclinic

Cell: 6.074 8.862 7.527 Å, 106.04 90.00 90.00°
Element x y z (fractional)
Li1 0.406 0.769 0.760
Li2 0.837 0.927 0.141
Ga1 0.382 0.370 0.995
Ga2 0.118 0.870 0.495
Li3 0.594 0.231 0.240
Li4 0.390 0.139 0.550
Ga3 0.882 0.130 0.505
Li5 0.890 0.361 0.950
Bi1 0.328 0.928 0.164
Bi2 0.828 0.572 0.336
Ga4 0.618 0.630 0.005
Li6 0.110 0.639 0.050
Li7 0.163 0.073 0.859
Li8 0.663 0.427 0.641
Li9 0.610 0.861 0.450
Li10 0.906 0.731 0.740
Li11 0.337 0.573 0.359
Li12 0.094 0.269 0.260
Bi3 0.172 0.428 0.664
Bi4 0.672 0.072 0.836

Entry 2:
A relaxed structure of Li2Ga2Bi, computed with PBE.

Values from the calculation:
**Crystal system**: tetragonal

Cell: 7.904 7.904 3.207 Å, 90.00 90.00 90.00°
Element x y z (fractional)
Ga1 0.116 0.384 0.000
Ga2 0.384 0.884 0.000
Li1 0.681 0.819 0.500
Ga3 0.884 0.616 0.000
Bi1 0.000 0.000 0.000
Bi2 0.500 0.500 0.000
Li2 0.319 0.181 0.500
Li3 0.181 0.681 0.500
Li4 0.819 0.319 0.500
Ga4 0.616 0.116 0.000

| no. | excess energy over the best structure of this formula in the dataset (meV/atom) | total magnetic moment (μB per atom) | energy of formation (eV/f.u.) |
| --- | --- | --- | --- |
| 1 | 0 | 0.000 | -1.7 |
| 2 | 0 | 0.000 | -1.0 |